VASP calculation (PBE+U) on crystalline LiTl2WF6 at its relaxed geometry.

Cell and atoms, written as extended XYZ:
```
20
Lattice="3.0437 1.7573 10.2231 -3.0437 1.7573 10.2231 0.0000 -3.5146 10.2231" Properties=species:S:1:pos:R:3 pbc="T T T"
Li 0.0000 0.0000 3.0634
Li 0.0000 0.0000 27.6058
Tl 0.0000 0.0000 6.8243
Tl 0.0000 0.0000 11.5101
Tl 0.0000 0.0000 19.1592
Tl 0.0000 0.0000 23.8449
W 0.0000 0.0000 0.0000
W 0.0000 0.0000 15.3346
F 0.0000 -1.8920 8.8633
F -1.6386 0.9460 8.8633
F -1.4872 -0.8586 16.5810
F 0.0000 -1.7172 14.0883
F -1.4872 0.8586 14.0883
F -1.6386 -0.9460 21.8060
F 1.6386 0.9460 8.8633
F 1.4872 -0.8586 16.5810
F 0.0000 1.7172 16.5810
F 1.4872 0.8586 14.0883
F 1.6386 -0.9460 21.8060
F 0.0000 1.8920 21.8060
```

Calculated values
For the size of the total moment, the calculation gives 6.00 μB per cell. For the density of states at the Fermi level, the calculation gives 0.0000 states/eV/atom. For the energy, the calculation gives -48.702 eV/f.u. As for the crystal system: trigonal. As for the space-group type: No. 166.